Below is a geometry-optimized LaErTeSe structure, with properties calculated at the PBE-GGA level.

Results
Total energy, eV per atom: -5.65

abc: 4.1632 4.1632 22.7486
angles: 90.00 90.00 120.00
Last column: nearest neighbours and their distance in Å.
Space group R3m (No. 160, hexagonal axes)
Asymmetric unit:
La: 0.0000 0.0000 0.0000 [3 per cell]  3 Se 2.99, 3 Te 3.28
Er: 0.0000 0.0000 0.1867 [3 per cell]  3 Se 2.87, 3 Te 3.13
Te: 0.0000 0.0000 0.4317 [3 per cell]  3 Er 3.13, 3 La 3.28
Se: 0.0000 0.0000 0.5887 [3 per cell]  3 Er 2.87, 3 La 2.99